Record 1
Ti3H2S2 after structural relaxation, computed with GGA-PBE.

Calculated values
- spin magnetization (μB per cell) = 0.0
- D(E_F) (states/eV/f.u.) = 2.07
- E_tot (eV/cell) = -89.51

a = 4.9246 Å, b = 6.4346 Å, c = 5.8528 Å
α = 90.00°, β = 116.18°, γ = 90.00°
Closest atoms and distances in Å follow each position.
Fractional coordinates of all 14 atoms:
Ti: 0.0000 0.0000 0.0000  2 H 1.84
Ti: 0.0000 0.5000 0.5000  2 H 1.84
Ti: 0.4136 0.1458 0.7399  3 H 1.92-1.98
Ti: 0.4136 0.3542 0.2399  3 H 1.92-1.98
Ti: 0.5864 0.6458 0.7601  3 H 1.92-1.98
Ti: 0.5864 0.8542 0.2601  3 H 1.92-1.98
H: 0.3737 0.1002 0.0559  4 Ti 1.84-1.98
H: 0.3737 0.3998 0.5559  4 Ti 1.84-1.98
H: 0.6263 0.6002 0.4441  4 Ti 1.84-1.98
H: 0.6263 0.8998 0.9441  4 Ti 1.84-1.98
S: 0.1817 0.6488 0.9246  6 Ti 2.44-2.65, 1 H 2.68
S: 0.1817 0.8512 0.4246  6 Ti 2.44-2.65, 1 H 2.68
S: 0.8183 0.1488 0.5754  6 Ti 2.44-2.65, 1 H 2.68
S: 0.8183 0.3512 0.0754  6 Ti 2.44-2.65, 1 H 2.68

---

Record 2
Ti3HS after structural relaxation, computed with GGA-PBE.

Calculated values
- spin magnetization (μB per cell) = 0.0
- D(E_F) (states/eV/f.u.) = 4.65
- E_tot (eV/cell) = -33.19

a = 3.9225 Å, b = 3.9225 Å, c = 3.9225 Å
α = 90.00°, β = 90.00°, γ = 90.00°
Closest atoms and distances in Å follow each position.
Fractional coordinates of all 5 atoms:
Ti: 0.0000 0.0000 0.5000  2 H 1.96
Ti: 0.0000 0.5000 0.0000  2 H 1.96
Ti: 0.5000 0.0000 0.0000  2 H 1.96
H: 0.0000 0.0000 0.0000  6 Ti 1.96
S: 0.5000 0.5000 0.5000  12 Ti 2.77

---

Record 3
Ti2H2S after structural relaxation, computed with GGA-PBE.

Calculated values
- spin magnetization (μB per cell) = 0.0
- D(E_F) (states/eV/f.u.) = 2.85
- E_tot (eV/cell) = -55.93

a = 5.8463 Å, b = 5.8463 Å, c = 2.9143 Å
α = 90.00°, β = 90.00°, γ = 90.00°
Closest atoms and distances in Å follow each position.
Fractional coordinates of all 10 atoms:
Ti: 0.1643 0.3357 0.0000  4 H 2.15
Ti: 0.3357 0.8357 0.0000  4 H 2.15
Ti: 0.6643 0.1643 0.0000  4 H 2.15
Ti: 0.8357 0.6643 0.0000  4 H 2.15
H: 0.0992 0.5992 0.5000  1 H 1.64
H: 0.4008 0.0992 0.5000  1 H 1.64
H: 0.5992 0.9008 0.5000  1 H 1.64
H: 0.9008 0.4008 0.5000  1 H 1.64
S: 0.0000 0.0000 0.5000  4 H 2.41, 8 Ti 2.63
S: 0.5000 0.5000 0.5000  4 H 2.41, 8 Ti 2.63

---

Record 4
Ti2H2S after structural relaxation, computed with GGA-PBE.

Calculated values
- spin magnetization (μB per cell) = 0.0
- D(E_F) (states/eV/f.u.) = 3.19
- E_tot (eV/cell) = -29.04

a = 4.5048 Å, b = 4.5048 Å, c = 4.5048 Å
α = 129.77°, β = 129.77°, γ = 73.78°
Closest atoms and distances in Å follow each position.
Fractional coordinates of all 5 atoms:
Ti: 0.2500 0.7500 0.5000  4 H 2.04
Ti: 0.7500 0.2500 0.5000  4 H 2.04
H: 0.1496 0.1496 0.0000  4 Ti 2.04, 1 H 2.16
H: 0.8504 0.8504 0.0000  4 Ti 2.04, 1 H 2.16
S: 0.5000 0.5000 0.0000  2 H 2.53, 8 Ti 2.63

---

Record 5
Ti3HS2 after structural relaxation, computed with GGA-PBE.

Calculated values
- spin magnetization (μB per cell) = 0.0
- D(E_F) (states/eV/f.u.) = 3.55
- E_tot (eV/cell) = -81.77

a = 5.9600 Å, b = 5.9600 Å, c = 6.3973 Å
α = 105.41°, β = 105.41°, γ = 47.44°
Closest atoms and distances in Å follow each position.
Fractional coordinates of all 12 atoms:
Ti: 0.0206 0.9794 0.7500  1 H 2.00
Ti: 0.3671 0.3686 0.9325  2 H 2.12-2.14
Ti: 0.3686 0.3671 0.4325  2 H 2.12-2.14
Ti: 0.6314 0.6329 0.5675  2 H 2.12-2.14
Ti: 0.6329 0.6314 0.0675  2 H 2.12-2.14
Ti: 0.9794 0.0206 0.2500  1 H 2.00
H: 0.4382 0.5618 0.7500  5 Ti 2.00-2.14
H: 0.5618 0.4382 0.2500  5 Ti 2.00-2.14
S: 0.1777 0.1775 0.0883  6 Ti 2.44-2.55
S: 0.1775 0.1777 0.5883  6 Ti 2.44-2.55
S: 0.8225 0.8223 0.4117  6 Ti 2.44-2.55
S: 0.8223 0.8225 0.9117  6 Ti 2.44-2.55

---

Record 6
TiHS3 after structural relaxation, computed with GGA-PBE.

Calculated values
- spin magnetization (μB per cell) = 0.8
- D(E_F) (states/eV/f.u.) = 7.06
- E_tot (eV/cell) = -22.92

a = 4.6896 Å, b = 4.6896 Å, c = 4.6896 Å
α = 90.00°, β = 90.00°, γ = 90.00°
Closest atoms and distances in Å follow each position.
Fractional coordinates of all 5 atoms:
Ti: 0.0000 0.0000 0.0000  6 S 2.34
H: 0.5000 0.5000 0.5000  12 S 3.32
S: 0.0000 0.0000 0.5000  2 Ti 2.34
S: 0.0000 0.5000 0.0000  2 Ti 2.34
S: 0.5000 0.0000 0.0000  2 Ti 2.34

---

Record 7
TiHS3 after structural relaxation, computed with GGA-PBE.

Calculated values
- spin magnetization (μB per cell) = 0.0
- D(E_F) (states/eV/f.u.) = 5.47
- E_tot (eV/cell) = -21.17

a = 4.0426 Å, b = 4.0426 Å, c = 4.0426 Å
α = 90.00°, β = 90.00°, γ = 90.00°
Closest atoms and distances in Å follow each position.
Fractional coordinates of all 5 atoms:
Ti: 0.0000 0.0000 0.0000  12 S 2.86
H: 0.5000 0.5000 0.5000  6 S 2.02
S: 0.0000 0.5000 0.5000  2 H 2.02
S: 0.5000 0.0000 0.5000  2 H 2.02
S: 0.5000 0.5000 0.0000  2 H 2.02

---

Record 8
TiH2S after structural relaxation, computed with GGA-PBE.

Calculated values
- spin magnetization (μB per cell) = 0.0
- D(E_F) (states/eV/f.u.) = 1.28
- E_tot (eV/cell) = -39.32

a = 7.0742 Å, b = 7.0742 Å, c = 7.0742 Å
α = 151.10°, β = 151.10°, γ = 41.32°
Closest atoms and distances in Å follow each position.
Fractional coordinates of all 8 atoms:
Ti: 0.3750 0.6250 0.7500  4 H 1.88
Ti: 0.6250 0.3750 0.2500  4 H 1.88
H: 0.0000 0.5000 0.5000  2 H 1.76, 2 Ti 1.88
H: 0.5000 0.0000 0.0000  2 H 1.76, 2 Ti 1.88
H: 0.5000 0.5000 0.0000  2 H 1.76, 2 Ti 1.88
H: 0.5000 0.5000 0.5000  2 H 1.76, 2 Ti 1.88
S: 0.1250 0.8750 0.2500  4 Ti 2.50, 8 H 2.58
S: 0.8750 0.1250 0.7500  4 Ti 2.50, 8 H 2.58

---

Record 9
TiHS2 after structural relaxation, computed with GGA-PBE.

Calculated values
- spin magnetization (μB per cell) = 0.1
- D(E_F) (states/eV/f.u.) = 2.03
- E_tot (eV/cell) = -19.92

a = 4.2068 Å, b = 4.2068 Å, c = 4.2068 Å
α = 60.00°, β = 60.00°, γ = 60.00°
Closest atoms and distances in Å follow each position.
Fractional coordinates of all 4 atoms:
Ti: 0.0000 0.0000 0.0000  8 S 2.58
H: 0.5000 0.5000 0.5000  8 S 2.58
S: 0.2500 0.2500 0.2500  4 H 2.58, 4 Ti 2.58
S: 0.7500 0.7500 0.7500  4 H 2.58, 4 Ti 2.58

---

Record 10
Ti2HS3 after structural relaxation, computed with GGA-PBE.

Calculated values
- spin magnetization (μB per cell) = 0.0
- D(E_F) (states/eV/f.u.) = 3.38
- E_tot (eV/cell) = -75.79

a = 6.1822 Å, b = 6.1822 Å, c = 5.7950 Å
α = 90.00°, β = 90.00°, γ = 120.00°
Closest atoms and distances in Å follow each position.
Fractional coordinates of all 12 atoms:
Ti: 0.1664 0.8336 0.0000  6 S 2.48
Ti: 0.1670 0.8330 0.5000  6 S 2.47
Ti: 0.8330 0.1670 0.5000  6 S 2.47
Ti: 0.8336 0.1664 0.0000  6 S 2.48
H: 0.4987 0.4987 0.9347  1 H 0.76
H: 0.5013 0.5013 0.0653  1 H 0.76
S: 0.1484 0.1484 0.7481  1 H 2.42, 4 Ti 2.47-2.48
S: 0.1484 0.4999 0.2514  1 H 2.43, 4 Ti 2.47-2.48
S: 0.4999 0.1484 0.2514  1 H 2.43, 4 Ti 2.47-2.48
S: 0.5001 0.8516 0.7486  1 H 2.43, 4 Ti 2.47-2.48
S: 0.8516 0.5001 0.7486  1 H 2.43, 4 Ti 2.47-2.48
S: 0.8516 0.8516 0.2519  1 H 2.42, 4 Ti 2.47-2.48

---

Record 11
TiHS2 after structural relaxation, computed with GGA-PBE.

Calculated values
- spin magnetization (μB per cell) = 1.5
- D(E_F) (states/eV/f.u.) = 2.60
- E_tot (eV/cell) = -41.80

a = 6.1251 Å, b = 6.1251 Å, c = 6.1251 Å
α = 129.86°, β = 129.86°, γ = 73.63°
Closest atoms and distances in Å follow each position.
Fractional coordinates of all 8 atoms:
Ti: 0.0000 0.0000 0.0000  4 S 2.32
Ti: 0.7500 0.2500 0.5000  4 S 2.32
H: 0.2500 0.7500 0.5000  4 S 2.10
H: 0.5000 0.5000 0.0000  4 S 2.10
S: 0.1606 0.6250 0.0356  2 H 2.10, 2 Ti 2.32
S: 0.3750 0.4106 0.5356  2 H 2.10, 2 Ti 2.32
S: 0.5894 0.1250 0.9644  2 H 2.10, 2 Ti 2.32
S: 0.8750 0.8394 0.4644  2 H 2.10, 2 Ti 2.32

---

Record 12
TiHS3 after structural relaxation, computed with GGA-PBE.

Calculated values
- spin magnetization (μB per cell) = 0.0
- D(E_F) (states/eV/f.u.) = 2.70
- E_tot (eV/cell) = -106.49

a = 8.6427 Å, b = 8.6427 Å, c = 5.7930 Å
α = 101.73°, β = 101.73°, γ = 71.38°
Closest atoms and distances in Å follow each position.
Fractional coordinates of all 20 atoms:
Ti: 0.0973 0.9027 0.7500  6 S 2.30-2.57
Ti: 0.2444 0.7556 0.2500  4 S 2.35
Ti: 0.7556 0.2444 0.7500  4 S 2.35
Ti: 0.9027 0.0973 0.2500  6 S 2.30-2.57
H: 0.2209 0.3778 0.0594  1 S 1.36
H: 0.3778 0.2209 0.5594  1 S 1.36
H: 0.6222 0.7791 0.4406  1 S 1.36
H: 0.7791 0.6222 0.9406  1 S 1.36
S: 0.0185 0.1962 0.9837  3 Ti 2.35-2.57, 1 H 2.62
S: 0.1332 0.6525 0.5041  2 Ti 2.30-2.35
S: 0.1962 0.0185 0.4837  3 Ti 2.35-2.57, 1 H 2.62
S: 0.3475 0.8668 0.9959  2 Ti 2.30-2.35
S: 0.3600 0.4284 0.1096  1 H 1.36
S: 0.4284 0.3600 0.6096  1 H 1.36
S: 0.5716 0.6400 0.3904  1 H 1.36
S: 0.6400 0.5716 0.8904  1 H 1.36
S: 0.6525 0.1332 0.0041  2 Ti 2.30-2.35
S: 0.8038 0.9815 0.5163  3 Ti 2.35-2.57, 1 H 2.62
S: 0.8668 0.3475 0.4959  2 Ti 2.30-2.35
S: 0.9815 0.8038 0.0163  3 Ti 2.35-2.57, 1 H 2.62